Material: LiCu2RuO6
Method: DFT, GGA-PBE
State: relaxed

* space-group type: P1 (1)
* formation energy (no corrections): -0.7947 eV per atom
* total magnetization: 0.000 μB per atom
* E_tot: -0.420 Ry/atom
* crystal system: triclinic
* DOS(E_F): 0.603 states/eV/atom

```
LiCu2RuO6
1.0
-1.102 -4.771 -1.479
4.874 1.433 0.604
-1.049 1.351 5.266
Li Cu Ru O
1 2 1 6
direct
0.999 0.499 0.485
0.605 0.802 0.393
0.485 0.241 0.712
0.015 0.007 0.008
0.527 0.907 0.704
0.459 0.075 0.199
0.828 0.753 0.198
0.138 0.384 0.197
0.811 0.619 0.704
0.099 0.190 0.704
```

---

Material: FeCo2Pd
Method: DFT, GGA-PBE
State: relaxed

* space-group type: P4/mmm (123)
* formation energy: 0.027 eV/atom
* total magnetization: 1.691 μB per atom
* E_tot: -0.510 Ry/atom
* crystal system: tetragonal
* energy relative to the lowest polymorph listed for this composition: 0.0000 eV per atom
* DOS(E_F): 1.046 states/eV/atom

```
FeCo2Pd
1.0
3.710 0.000 0.000
0.000 3.667 0.000
0.000 0.000 3.667
Co Fe Pd
2 1 1
direct
0.000 0.000 0.500
0.000 0.500 0.000
0.500 0.500 0.500
0.500 0.000 0.000
```

---

Material: KLiPb2F8
Method: DFT, GGA-PBE
State: relaxed

* space-group type: P2/m (10)
* formation energy (no corrections): -2.3126 eV per atom
* total magnetization: 0.000 μB per atom
* E_tot: -0.326 Ry/atom
* crystal system: monoclinic
* DOS(E_F): 0.358 states/eV/atom

```
KLiPb2F8
1.0
4.034 -0.006 -0.001
0.014 5.899 -0.354
-0.001 -0.505 7.860
K Li Pb F
1 1 2 8
direct
0.000 0.000 0.500
0.000 0.000 0.000
0.500 0.547 0.760
0.500 0.453 0.240
0.000 0.643 0.256
0.499 0.737 0.033
0.000 0.199 0.209
0.000 0.357 0.744
0.501 0.263 0.967
0.000 0.801 0.791
0.500 0.717 0.512
0.500 0.283 0.488
```